1.
The following is a DFT calculation (PBE) of crystalline Tb2CePm6Ho at its relaxed geometry.

Lattice parameters (Å, degrees): 8.8443 8.8443 9.7770 94.62 94.62 117.28
Closest atoms and distances in Å follow each position.
Fractional positions:
Tb 0.1911 0.2881 0.0457  5 Pm 3.30-3.48, 2 Ho 3.37-3.38, 1 Ce 3.57
Tb 0.2881 0.1911 0.5457  5 Pm 3.30-3.48, 2 Ho 3.37-3.38, 1 Ce 3.57
Tb 0.7119 0.8089 0.4543  5 Pm 3.30-3.48, 2 Ho 3.37-3.38, 1 Ce 3.57
Tb 0.8089 0.7119 0.9543  5 Pm 3.30-3.48, 2 Ho 3.37-3.38, 1 Ce 3.57
Ce 0.4083 0.5917 0.7500  6 Pm 3.39-3.60, 2 Tb 3.57
Ce 0.5917 0.4083 0.2500  6 Pm 3.39-3.60, 2 Tb 3.57
Pm 0.0118 0.5702 0.1891  3 Pm 3.31-3.67, 1 Ce 3.44, 1 Tb 3.45, 1 Ho 3.54
Pm 0.1167 0.7519 0.5562  7 Pm 3.46-3.79, 1 Tb 3.48, 1 Ho 3.65
Pm 0.2481 0.8833 0.9438  7 Pm 3.46-3.79, 1 Tb 3.48, 1 Ho 3.65
Pm 0.2976 0.5049 0.3795  3 Tb 3.30-3.47, 4 Pm 3.31-3.66, 2 Ce 3.39-3.60
Pm 0.4298 0.9882 0.3109  3 Pm 3.31-3.67, 1 Ce 3.44, 1 Tb 3.45, 1 Ho 3.54
Pm 0.4951 0.7024 0.1205  3 Tb 3.30-3.47, 4 Pm 3.31-3.66, 2 Ce 3.39-3.60
Pm 0.5049 0.2976 0.8795  3 Tb 3.30-3.47, 4 Pm 3.31-3.66, 2 Ce 3.39-3.60
Pm 0.5702 0.0118 0.6891  3 Pm 3.31-3.67, 1 Ce 3.44, 1 Tb 3.45, 1 Ho 3.54
Pm 0.7024 0.4951 0.6205  3 Tb 3.30-3.47, 4 Pm 3.31-3.66, 2 Ce 3.39-3.60
Pm 0.7519 0.1167 0.0562  7 Pm 3.46-3.79, 1 Tb 3.48, 1 Ho 3.65
Pm 0.8833 0.2481 0.4438  7 Pm 3.46-3.79, 1 Tb 3.48, 1 Ho 3.65
Pm 0.9882 0.4298 0.8109  3 Pm 3.31-3.67, 1 Ce 3.44, 1 Tb 3.45, 1 Ho 3.54
Ho 0.0238 0.9762 0.2500  4 Tb 3.37-3.38, 4 Pm 3.54-3.65
Ho 0.9762 0.0238 0.7500  4 Tb 3.37-3.38, 4 Pm 3.54-3.65

Energy of formation (meV/atom): 150
Magnetic moment (μB/cell): 1.95
Density (g cm⁻³): 7.4
E (eV for the cell shown): -93.5

2.
The following is a DFT calculation (PBE) of crystalline MgCuSi at its relaxed geometry.

Lattice parameters (Å, degrees): 5.1936 5.1936 5.1936 133.35 105.67 92.49
Closest atoms and distances in Å follow each position.
Fractional positions:
Mg 0.0000 0.0000 0.0000  6 Cu 2.76-2.88, 6 Si 2.94
Mg 0.5792 0.0792 0.5000  6 Si 2.82-2.83, 6 Cu 2.83-3.06
Cu 0.4243 0.7003 0.7240  3 Si 2.40-2.41
Cu 0.9763 0.7003 0.2760  3 Si 2.40-2.41
Si 0.1718 0.3710 0.8008  3 Cu 2.40-2.41, 1 Si 2.50
Si 0.5702 0.3710 0.1992  3 Cu 2.40-2.41, 1 Si 2.50

Magnetic moment (μB/cell): 0.00
Formation energy from raw total energies (eV/atom): -0.1376
Density (g cm⁻³): 4.2
E (eV for the cell shown): -23.1

Which value of density does entry 1 give?
7.4 g cm⁻³

Look up the E of the second one.
-23.1 eV for the cell shown

E of number 2 (MgCuSi)?
-23.1 eV for the cell shown

Which value of magnetic moment does entry 1 give?
1.95 μB/cell